## Ti8Zn2Ir (PBE-GGA)

Data for a relaxed structure of Ti8Zn2Ir.

```
Ti8Zn2Ir
1.0
6.790 -2.213 0.000
6.790 2.213 0.000
-2.884 0.000 5.994
Ti Zn Ir
8 2 1
Cartesian
-0.380 0.000 1.635
0.207 0.000 4.414
2.835 0.000 3.494
5.354 0.000 0.388
5.343 0.000 5.606
7.862 0.000 2.500
10.490 0.000 1.580
11.077 0.000 4.358
2.188 0.000 0.903
8.510 0.000 5.090
5.349 0.000 2.997
```

total moment	0.00	μB/f.u.
raw total energy	-6.9704	eV/atom